No. 1
Below is an optimized crystal structure of SiHg2Os, with properties calculated at the GGA-PBE level.

Summary:
Calculated total energy: -60.43 eV for the cell shown
Space group: I-42d
Fermi-level density of states: 11.31 states/eV/cell

Cell lengths 10.470, 10.470, 4.546 Å; angles 90.00, 90.00, 90.00 degrees
Atoms (fractional coordinates):
Si: 0.000 0.000 0.000
Si: 0.000 0.500 0.250
Si: 0.500 0.000 0.750
Si: 0.500 0.500 0.500
Hg: 0.001 0.250 0.625
Hg: 0.250 0.501 0.875
Hg: 0.250 0.999 0.375
Hg: 0.499 0.250 0.125
Hg: 0.501 0.750 0.125
Hg: 0.750 0.001 0.375
Hg: 0.750 0.499 0.875
Hg: 0.999 0.750 0.625
Os: 0.000 0.000 0.500
Os: 0.000 0.500 0.750
Os: 0.500 0.000 0.250
Os: 0.500 0.500 0.000

***

No. 2
Below is an optimized crystal structure of BeZn2Mo, with properties calculated at the GGA-PBE level.

Summary:
Calculated total energy: -33.33 eV for the cell shown
ΔE_f: 0.1096 eV/atom
Space group: Immm
Fermi-level density of states: 2.18 states/eV/cell

Cell lengths 2.735, 4.258, 8.930 Å; angles 90.00, 90.00, 90.00 degrees
Atoms (fractional coordinates):
Be: 0.000 0.000 0.000
Be: 0.500 0.500 0.500
Zn: 0.000 0.500 0.277
Zn: 0.000 0.500 0.723
Zn: 0.500 0.000 0.223
Zn: 0.500 0.000 0.777
Mo: 0.000 0.000 0.500
Mo: 0.500 0.500 0.000

***

No. 3
Below is an optimized crystal structure of TiAg2Cl4F2, with properties calculated at the GGA-PBE level.

Summary:
Calculated total energy: -37.93 eV for the cell shown
Space group: C2/m

Cell lengths 6.910, 6.910, 5.579 Å; angles 94.17, 94.17, 64.25 degrees
Atoms (fractional coordinates):
Ti: 0.000 0.000 0.000
Ag: 0.292 0.292 0.031
Ag: 0.708 0.708 0.969
Cl: 0.104 0.647 0.806
Cl: 0.353 0.896 0.194
Cl: 0.647 0.104 0.806
Cl: 0.896 0.353 0.194
F: 0.087 0.087 0.744
F: 0.913 0.913 0.256